DFT (PBE-GGA) results for an optimized crystal structure of Mg2CuRh.

The space group is No. 216. The value obtained for the density of states at the Fermi level is 2.03 states/eV per cell. The calculation puts the formation energy from the elements at -0.21 eV per atom. The total energy is -3.869 eV per atom.

a b c (Å): 4.438 4.438 4.438
angles (deg): 60.00 60.00 60.00
Sites, in units of the cell vectors:
Mg 0.000 0.000 0.000
Mg 0.250 0.250 0.250
Cu 0.750 0.750 0.750
Rh 0.500 0.500 0.500

=====

DFT (PBE-GGA) results for an optimized crystal structure of CaSb2Pd.

The space group is No. 122. The value obtained for the density of states at the Fermi level is 1.93 states/eV per cell. The value obtained for the uncorrected formation energy is -0.46 eV per atom. The total energy is -4.318 eV per atom.

a b c (Å): 9.883 9.883 9.883
angles (deg): 151.14 151.14 41.27
Sites, in units of the cell vectors:
Ca 0.000 0.000 0.000
Ca 0.750 0.250 0.500
Sb 0.206 0.625 0.081
Sb 0.375 0.456 0.581
Sb 0.544 0.125 0.919
Sb 0.875 0.794 0.419
Pd 0.250 0.750 0.500
Pd 0.500 0.500 0.000

=====

DFT (PBE-GGA) results for an optimized crystal structure of LiBe2H4.

The space group is No. 1. The value obtained for the density of states at the Fermi level is 0.00 states/eV per cell. The value obtained for the relative energy among the computed polymorphs is 0 meV/atom. The total energy is -3.301 eV per atom.

a b c (Å): 4.605 4.994 6.025
angles (deg): 98.69 108.78 90.72
Sites, in units of the cell vectors:
Li 0.000 0.000 0.000
Li 0.320 0.090 0.511
Be 0.376 0.717 0.823
Be 0.474 0.603 0.205
Be 0.618 0.427 0.883
Be 0.730 0.326 0.262
H 0.201 0.930 0.760
H 0.283 0.807 0.237
H 0.298 0.433 0.721
H 0.402 0.318 0.245
H 0.691 0.696 0.822
H 0.746 0.210 0.788
H 0.781 0.604 0.381
H 0.912 0.109 0.297

=====

DFT (PBE-GGA) results for an optimized crystal structure of K2RbHg16.

The space group is No. 160. The value obtained for the density of states at the Fermi level is 6.95 states/eV per cell. The calculation puts the formation energy from the elements at -0.15 eV per atom. The total energy is -0.571 eV per atom.

a b c (Å): 8.841 8.841 8.841
angles (deg): 70.59 70.59 70.59
Sites, in units of the cell vectors:
K 0.000 0.000 0.000
K 0.381 0.381 0.381
Rb 0.781 0.781 0.781
Hg 0.077 0.077 0.512
Hg 0.077 0.512 0.077
Hg 0.224 0.671 0.671
Hg 0.279 0.279 0.846
Hg 0.279 0.846 0.279
Hg 0.373 0.673 0.985
Hg 0.373 0.985 0.673
Hg 0.512 0.077 0.077
Hg 0.600 0.600 0.600
Hg 0.671 0.224 0.671
Hg 0.671 0.671 0.224
Hg 0.673 0.373 0.985
Hg 0.673 0.985 0.373
Hg 0.846 0.279 0.279
Hg 0.985 0.373 0.673
Hg 0.985 0.673 0.373

=====

DFT (PBE-GGA) results for an optimized crystal structure of Sr2TeRh.

The space group is No. 99. The value obtained for the density of states at the Fermi level is 8.72 states/eV per cell. The value obtained for the uncorrected formation energy is -0.52 eV per atom. The total energy is -3.988 eV per atom.

a b c (Å): 4.587 4.587 6.512
angles (deg): 90.00 90.00 90.00
Sites, in units of the cell vectors:
Sr 0.000 0.000 0.000
Sr 0.500 0.500 0.498
Te 0.000 0.000 0.500
Rh 0.500 0.500 0.999

=====

DFT (PBE-GGA) results for an optimized crystal structure of TlSeCl2.

The space group is No. 160. The value obtained for the density of states at the Fermi level is 2.71 states/eV per cell. The value obtained for the relative energy among the computed polymorphs is 217 meV/atom. The value obtained for the uncorrected formation energy is -0.17 eV per atom. The total energy is -2.556 eV per atom.

a b c (Å): 7.359 7.359 7.359
angles (deg): 35.68 35.68 35.68
Sites, in units of the cell vectors:
Tl 0.000 0.000 0.000
Se 0.752 0.752 0.752
Cl 0.265 0.265 0.265
Cl 0.448 0.448 0.448

=====

DFT (PBE-GGA) results for an optimized crystal structure of Na12Cd6Pt.

The space group is No. 148. The value obtained for the density of states at the Fermi level is 6.45 states/eV per cell. The calculation puts the formation energy from the elements at -0.10 eV per atom. The total energy is -1.543 eV per atom.

a b c (Å): 8.063 8.063 8.063
angles (deg): 87.50 87.50 87.50
Sites, in units of the cell vectors:
Na 0.026 0.932 0.308
Na 0.068 0.692 0.974
Na 0.134 0.470 0.356
Na 0.308 0.026 0.932
Na 0.356 0.134 0.470
Na 0.470 0.356 0.134
Na 0.530 0.644 0.866
Na 0.644 0.866 0.530
Na 0.692 0.974 0.068
Na 0.866 0.530 0.644
Na 0.932 0.308 0.026
Na 0.974 0.068 0.692
Cd 0.249 0.398 0.751
Cd 0.249 0.751 0.602
Cd 0.398 0.751 0.249
Cd 0.602 0.249 0.751
Cd 0.751 0.249 0.398
Cd 0.751 0.602 0.249
Pt 0.500 0.500 0.500

=====

DFT (PBE-GGA) results for an optimized crystal structure of BeAlPt2.

The space group is No. 71. The value obtained for the density of states at the Fermi level is 2.53 states/eV per cell. The calculation puts the formation energy from the elements at -0.04 eV per atom. The total energy is -4.930 eV per atom.

a b c (Å): 5.529 5.529 5.529
angles (deg): 150.94 131.28 57.73
Sites, in units of the cell vectors:
Be 0.000 0.000 0.000
Al 0.500 0.500 0.000
Pt 0.221 0.221 0.000
Pt 0.779 0.779 0.000

=====

DFT (PBE-GGA) results for an optimized crystal structure of KPr2RhO6.

The space group is No. 14. The value obtained for the density of states at the Fermi level is 10.94 states/eV per cell. The value obtained for the uncorrected formation energy is -2.06 eV per atom. The total energy is -6.841 eV per atom.

a b c (Å): 5.660 6.264 10.421
angles (deg): 90.00 122.20 90.00
Sites, in units of the cell vectors:
K 0.000 0.000 0.000
K 0.000 0.500 0.500
Pr 0.211 0.025 0.720
Pr 0.211 0.475 0.220
Pr 0.789 0.525 0.780
Pr 0.789 0.975 0.280
Rh 0.500 0.000 0.500
Rh 0.500 0.500 0.000
O 0.185 0.150 0.486
O 0.185 0.350 0.986
O 0.223 0.733 0.869
O 0.223 0.767 0.369
O 0.445 0.143 0.312
O 0.445 0.357 0.812
O 0.555 0.643 0.188
O 0.555 0.857 0.688
O 0.777 0.233 0.631
O 0.777 0.267 0.131
O 0.815 0.650 0.014
O 0.815 0.850 0.514

=====

DFT (PBE-GGA) results for an optimized crystal structure of Al3Ga.

The space group is No. 44. The value obtained for the density of states at the Fermi level is 1.41 states/eV per cell. The calculation puts the formation energy from the elements at 0.04 eV per atom. The total energy is -3.526 eV per atom.

a b c (Å): 5.623 5.623 5.623
angles (deg): 150.95 61.34 127.26
Sites, in units of the cell vectors:
Al 0.000 0.000 0.000
Al 0.414 0.667 0.746
Al 0.921 0.667 0.254
Ga 0.505 0.005 0.500

=====

DFT (PBE-GGA) results for an optimized crystal structure of LaTcP2.

The space group is No. 166. The value obtained for the density of states at the Fermi level is 1.01 states/eV per cell. The calculation puts the formation energy from the elements at -0.91 eV per atom. The value obtained for the relative energy among the computed polymorphs is 0 meV/atom. The total energy is -7.440 eV per atom.

a b c (Å): 5.557 5.557 5.557
angles (deg): 43.80 43.80 43.80
Sites, in units of the cell vectors:
La 0.000 0.000 0.000
Tc 0.500 0.500 0.500
P 0.211 0.211 0.211
P 0.789 0.789 0.789

=====

DFT (PBE-GGA) results for an optimized crystal structure of ScV2RuRh.

The space group is No. 123. The value obtained for the density of states at the Fermi level is 5.72 states/eV per cell. The calculation puts the formation energy from the elements at 0.64 eV per atom. The value obtained for the relative energy among the computed polymorphs is 0 meV/atom. The total energy is -7.598 eV per atom.

a b c (Å): 4.460 4.460 4.924
angles (deg): 90.00 90.00 90.00
Sites, in units of the cell vectors:
Sc 0.000 0.000 0.000
V 0.000 0.500 0.500
V 0.500 0.000 0.500
Ru 0.500 0.500 0.500
Rh 0.500 0.500 0.000